(1)
Computed, not measured: a relaxed structure of SiGeN at the PBE level of DFT.

POSCAR file:
```
SiGeN
1.0
2.882 0.001 0.004
1.440 2.496 -0.002
1.378 0.837 6.609
Si Ge N
1 1 1
direct
0.025 0.493 0.147
0.145 0.618 0.766
0.330 0.796 0.236
```

Calculated values
Magnetic moment in Bohr magnetons per cell: 0.0
ΔE_f (raw) in eV per atom: -0.2627

(2)
Computed, not measured: a relaxed structure of In4NiOs at the PBE level of DFT.

POSCAR file:
```
In4NiOs
1.0
1.836 -4.571 2.631
0.270 -0.093 5.577
-3.561 -3.163 2.916
In Ni Os
4 1 1
direct
0.875 0.375 0.375
0.375 0.375 0.875
0.375 0.875 0.375
0.375 0.375 0.375
0.750 0.750 0.750
0.000 0.000 0.000
```

Calculated values
Magnetic moment in Bohr magnetons per cell: 0.0
ΔE_f in eV per formula unit: 6.32

Final energy (computed, eV/atom): -6.38, -3.61